(1)
The following is a PBE calculation of a relaxed structure of LaYOs, from Alexandria.

The structure in POSCAR format:
```
LaYOs
1.0
-1.573 3.481 -1.721
0.182 -3.542 -2.231
-5.618 -1.548 2.000
Os Y La
1 1 1
Direct
0.667 0.333 0.336
0.333 0.667 0.562
0.000 0.000 0.101
```

Results
The energy above the most stable polymorph in this dataset comes out at 126 meV/atom. As for the density: 7.41 g cm⁻³. The calculation puts the raw total energy at -22.64 eV per cell. The spin magnetization is 0.000 μB per cell. Its formation energy from the elements is -0.005 eV per atom.

***

(2)
The following is a PBE calculation of a relaxed structure of Sr2Sm, from Alexandria.

The structure in POSCAR format:
```
Sr2Sm
1.0
-2.030 3.399 0.341
-3.258 -1.807 -1.381
0.429 -2.922 8.529
Sm Sr
1 2
Direct
0.000 0.000 0.000
0.344 0.344 0.688
0.656 0.656 0.312
```

Results
The energy above the most stable polymorph in this dataset comes out at 5 meV/atom. As for the density: 3.99 g cm⁻³. The calculation puts the raw total energy at -7.59 eV per cell. The spin magnetization is 0.058 μB per cell. Its formation energy from the elements is 0.164 eV per atom.